# Be4NbRh | Alexandria via LeMat-Bulk | GGA-PBE | relaxed
data_Be4NbRh
_cell_length_a 6.3238
_cell_length_b 6.3238
_cell_length_c 6.3238
_cell_angle_alpha 90.00
_cell_angle_beta 90.00
_cell_angle_gamma 90.00
_space_group_name_H-M_alt 'F -4 3 m'
_space_group_IT_number 216
_space_group_name_Hall 'F -4 2 3'
loop_
_atom_site_label
_atom_site_type_symbol
_atom_site_fract_x
_atom_site_fract_y
_atom_site_fract_z
Be1 Be 0.1229 0.1229 0.3771
Nb1 Nb 0.2500 0.2500 0.7500
Rh1 Rh 0.0000 0.0000 0.0000
# formation energy from the elements: -0.3520 eV/atom
# total magnetization: 0.00 μB per formula unit
# calculated density: 6.1 Mg/m³
# crystal system: cubic

---

# Be5NbRh6 | Alexandria via LeMat-Bulk | GGA-PBE | relaxed
data_Be5NbRh6
_cell_length_a 4.0749
_cell_length_b 5.7924
_cell_length_c 12.0888
_cell_angle_alpha 90.00
_cell_angle_beta 90.00
_cell_angle_gamma 90.00
_space_group_name_H-M_alt 'I m m m'
_space_group_IT_number 71
_space_group_name_Hall '-I 2 2'
loop_
_atom_site_label
_atom_site_type_symbol
_atom_site_fract_x
_atom_site_fract_y
_atom_site_fract_z
Be1 Be 0.0000 0.0000 0.0000
Be2 Be 0.0000 0.0000 0.3390
Be3 Be 0.0000 0.5000 0.3280
Nb1 Nb 0.0000 0.5000 0.0000
Rh1 Rh 0.0000 0.2393 0.1720
Rh2 Rh 0.0000 0.2707 0.5000
# formation energy from the elements: -0.6090 eV/atom
# total magnetization: 0.00 μB per formula unit
# calculated density: 8.8 Mg/m³
# crystal system: orthorhombic

---

# Be9Nb2Rh | Alexandria via LeMat-Bulk | GGA-PBE | relaxed
data_Be9Nb2Rh
_cell_length_a 4.4914
_cell_length_b 4.4914
_cell_length_c 21.0829
_cell_angle_alpha 90.00
_cell_angle_beta 90.00
_cell_angle_gamma 120.00
_space_group_name_H-M_alt 'R -3 m'
_space_group_IT_number 166
_space_group_name_Hall '-R 3 2"'
loop_
_atom_site_label
_atom_site_type_symbol
_atom_site_fract_x
_atom_site_fract_y
_atom_site_fract_z
Be1 Be 0.0000 0.0000 0.0000
Be2 Be 0.0000 0.0000 0.1651
Be3 Be 0.0011 0.5005 0.5813
Nb1 Nb 0.0000 0.0000 0.3559
Rh1 Rh 0.0000 0.0000 0.5000
# formation energy from the elements: -0.2188 eV/atom
# total magnetization: 0.00 μB per formula unit
# calculated density: 5.0 Mg/m³
# crystal system: trigonal

---

# Be8Nb3Rh | Alexandria via LeMat-Bulk | GGA-PBE | relaxed
data_Be8Nb3Rh
_cell_length_a 4.5397
_cell_length_b 4.5397
_cell_length_c 7.4431
_cell_angle_alpha 90.00
_cell_angle_beta 90.00
_cell_angle_gamma 120.00
_space_group_name_H-M_alt 'P 3 m 1'
_space_group_IT_number 156
_space_group_name_Hall 'P 3 -2"'
loop_
_atom_site_label
_atom_site_type_symbol
_atom_site_fract_x
_atom_site_fract_y
_atom_site_fract_z
Be1 Be 0.0000 0.0000 0.0000
Be2 Be 0.0000 0.0000 0.4936
Be3 Be 0.1690 0.3380 0.2487
Be4 Be 0.3369 0.1685 0.7526
Nb1 Nb 0.3333 0.6667 0.5680
Nb2 Nb 0.3333 0.6667 0.9426
Nb3 Nb 0.6667 0.3333 0.4307
Rh1 Rh 0.6667 0.3333 0.0662
# formation energy from the elements: -0.3286 eV/atom
# total magnetization: 0.00 μB per formula unit
# calculated density: 5.7 Mg/m³
# crystal system: trigonal

---

# Be3NbRh | Alexandria via LeMat-Bulk | GGA-PBE | relaxed
data_Be3NbRh
_cell_length_a 4.0413
_cell_length_b 4.0413
_cell_length_c 4.0413
_cell_angle_alpha 90.00
_cell_angle_beta 90.00
_cell_angle_gamma 90.00
_space_group_name_H-M_alt 'P m -3 m'
_space_group_IT_number 221
_space_group_name_Hall '-P 4 2 3'
loop_
_atom_site_label
_atom_site_type_symbol
_atom_site_fract_x
_atom_site_fract_y
_atom_site_fract_z
Be1 Be 0.0000 0.0000 0.5000
Nb1 Nb 0.5000 0.5000 0.5000
Rh1 Rh 0.0000 0.0000 0.0000
# formation energy from the elements: 0.2452 eV/atom
# relative energy among the computed polymorphs: 0 meV/atom
# total magnetization: 0.00 μB per formula unit
# calculated density: 5.6 Mg/m³
# crystal system: cubic

---

# Be5NbRh4 | Alexandria via LeMat-Bulk | GGA-PBE | relaxed
data_Be5NbRh4
_cell_length_a 2.8122
_cell_length_b 2.8122
_cell_length_c 14.3394
_cell_angle_alpha 90.00
_cell_angle_beta 90.00
_cell_angle_gamma 90.00
_space_group_name_H-M_alt 'P 4/m m m'
_space_group_IT_number 123
_space_group_name_Hall '-P 4 2'
loop_
_atom_site_label
_atom_site_type_symbol
_atom_site_fract_x
_atom_site_fract_y
_atom_site_fract_z
Be1 Be 0.0000 0.0000 0.0000
Be2 Be 0.0000 0.0000 0.1915
Be3 Be 0.0000 0.0000 0.3736
Nb1 Nb 0.5000 0.5000 0.5000
Rh1 Rh 0.5000 0.5000 0.0966
Rh2 Rh 0.5000 0.5000 0.2916
# formation energy from the elements: -0.5270 eV/atom
# total magnetization: 0.00 μB per formula unit
# calculated density: 8.0 Mg/m³
# crystal system: tetragonal

---

# BeNbSi2Rh | Alexandria via LeMat-Bulk | GGA-PBE | relaxed
data_BeNbSi2Rh
_cell_length_a 4.5476
_cell_length_b 4.5476
_cell_length_c 4.0121
_cell_angle_alpha 90.00
_cell_angle_beta 90.00
_cell_angle_gamma 90.00
_space_group_name_H-M_alt 'P 4/m m m'
_space_group_IT_number 123
_space_group_name_Hall '-P 4 2'
loop_
_atom_site_label
_atom_site_type_symbol
_atom_site_fract_x
_atom_site_fract_y
_atom_site_fract_z
Be1 Be 0.0000 0.0000 0.0000
Nb1 Nb 0.5000 0.5000 0.0000
Si1 Si 0.0000 0.5000 0.5000
Rh1 Rh 0.0000 0.0000 0.5000
# formation energy from raw total energies: 11.82 kcal/mol of atoms
# total magnetization: 0.26 μB per formula unit
# calculated density: 5.2 Mg/m³
# crystal system: tetragonal

---

# BeNb2SiRh | Alexandria via LeMat-Bulk | GGA-PBE | relaxed
data_BeNb2SiRh
_cell_length_a 4.4264
_cell_length_b 4.4264
_cell_length_c 3.8874
_cell_angle_alpha 90.00
_cell_angle_beta 90.00
_cell_angle_gamma 90.00
_space_group_name_H-M_alt 'P 4/m m m'
_space_group_IT_number 123
_space_group_name_Hall '-P 4 2'
loop_
_atom_site_label
_atom_site_type_symbol
_atom_site_fract_x
_atom_site_fract_y
_atom_site_fract_z
Be1 Be 0.0000 0.0000 0.0000
Nb1 Nb 0.0000 0.5000 0.0000
Si1 Si 0.0000 0.0000 0.5000
Rh1 Rh 0.5000 0.5000 0.5000
# formation energy from raw total energies: 6.40 kcal/mol of atoms
# total magnetization: 0.00 μB per formula unit
# calculated density: 7.1 Mg/m³
# crystal system: tetragonal

---

# TaBe2Nb2Rh5 | Alexandria via LeMat-Bulk | GGA-PBE | relaxed
data_TaBe2Nb2Rh5
_cell_length_a 9.5398
_cell_length_b 9.5398
_cell_length_c 3.1033
_cell_angle_alpha 90.00
_cell_angle_beta 90.00
_cell_angle_gamma 90.00
_space_group_name_H-M_alt 'P 4/m b m'
_space_group_IT_number 127
_space_group_name_Hall '-P 4 2ab'
loop_
_atom_site_label
_atom_site_type_symbol
_atom_site_fract_x
_atom_site_fract_y
_atom_site_fract_z
Ta1 Ta 0.0000 0.0000 0.0000
Be1 Be 0.1217 0.3783 0.0000
Nb1 Nb 0.1759 0.6759 0.0000
Rh1 Rh 0.0000 0.5000 0.5000
Rh2 Rh 0.0670 0.2106 0.5000
# formation energy from the elements: -0.5135 eV/atom
# total magnetization: 0.00 μB per formula unit
# calculated density: 10.6 Mg/m³
# crystal system: tetragonal

---

# Ta2Be2NbRh5 | Alexandria via LeMat-Bulk | GGA-PBE | relaxed
data_Ta2Be2NbRh5
_cell_length_a 9.0697
_cell_length_b 9.0697
_cell_length_c 3.4253
_cell_angle_alpha 90.00
_cell_angle_beta 90.00
_cell_angle_gamma 90.00
_space_group_name_H-M_alt 'P 4/m b m'
_space_group_IT_number 127
_space_group_name_Hall '-P 4 2ab'
loop_
_atom_site_label
_atom_site_type_symbol
_atom_site_fract_x
_atom_site_fract_y
_atom_site_fract_z
Ta1 Ta 0.1746 0.3254 0.0000
Be1 Be 0.1202 0.6202 0.0000
Nb1 Nb 0.0000 0.0000 0.0000
Rh1 Rh 0.0000 0.5000 0.5000
Rh2 Rh 0.0730 0.7890 0.5000
# formation energy from the elements: -0.5109 eV/atom
# total magnetization: 0.00 μB per formula unit
# calculated density: 11.6 Mg/m³
# crystal system: tetragonal

---

# TaBeNb2Rh | Alexandria via LeMat-Bulk | GGA-PBE | relaxed
data_TaBeNb2Rh
_cell_length_a 4.8692
_cell_length_b 4.8692
_cell_length_c 3.9505
_cell_angle_alpha 90.00
_cell_angle_beta 90.00
_cell_angle_gamma 90.00
_space_group_name_H-M_alt 'P 4/m m m'
_space_group_IT_number 123
_space_group_name_Hall '-P 4 2'
loop_
_atom_site_label
_atom_site_type_symbol
_atom_site_fract_x
_atom_site_fract_y
_atom_site_fract_z
Ta1 Ta 0.0000 0.0000 0.0000
Be1 Be 0.5000 0.5000 0.0000
Nb1 Nb 0.0000 0.5000 0.5000
Rh1 Rh 0.5000 0.5000 0.5000
# formation energy from the elements: 0.8254 eV/atom
# total magnetization: 0.00 μB per formula unit
# calculated density: 8.5 Mg/m³
# crystal system: tetragonal

---

# BeNb2TcRh | Alexandria via LeMat-Bulk | GGA-PBE | relaxed
data_BeNb2TcRh
_cell_length_a 4.7379
_cell_length_b 4.7379
_cell_length_c 4.1435
_cell_angle_alpha 90.00
_cell_angle_beta 90.00
_cell_angle_gamma 90.00
_space_group_name_H-M_alt 'P 4/m m m'
_space_group_IT_number 123
_space_group_name_Hall '-P 4 2'
loop_
_atom_site_label
_atom_site_type_symbol
_atom_site_fract_x
_atom_site_fract_y
_atom_site_fract_z
Be1 Be 0.0000 0.0000 0.0000
Nb1 Nb 0.0000 0.5000 0.5000
Tc1 Tc 0.0000 0.0000 0.5000
Rh1 Rh 0.5000 0.5000 0.0000
# formation energy from the elements: 1.0141 eV/atom
# total magnetization: 0.00 μB per formula unit
# calculated density: 7.1 Mg/m³
# crystal system: tetragonal

---

# Ti2Be2NbRh5 | Alexandria via LeMat-Bulk | GGA-PBE | relaxed
data_Ti2Be2NbRh5
_cell_length_a 9.1286
_cell_length_b 9.1286
_cell_length_c 3.3287
_cell_angle_alpha 90.00
_cell_angle_beta 90.00
_cell_angle_gamma 90.00
_space_group_name_H-M_alt 'P 4/m b m'
_space_group_IT_number 127
_space_group_name_Hall '-P 4 2ab'
loop_
_atom_site_label
_atom_site_type_symbol
_atom_site_fract_x
_atom_site_fract_y
_atom_site_fract_z
Ti1 Ti 0.1729 0.3271 0.0000
Be1 Be 0.1210 0.6210 0.0000
Nb1 Nb 0.0000 0.0000 0.0000
Rh1 Rh 0.0000 0.5000 0.5000
Rh2 Rh 0.0745 0.7892 0.5000
# formation energy from the elements: -0.6328 eV/atom
# total magnetization: 0.00 μB per formula unit
# calculated density: 8.6 Mg/m³
# crystal system: tetragonal

---

# Be2Nb2VRh5 | Alexandria via LeMat-Bulk | GGA-PBE | relaxed
data_Be2Nb2VRh5
_cell_length_a 9.6117
_cell_length_b 9.6117
_cell_length_c 2.9288
_cell_angle_alpha 90.00
_cell_angle_beta 90.00
_cell_angle_gamma 90.00
_space_group_name_H-M_alt 'P 4/m b m'
_space_group_IT_number 127
_space_group_name_Hall '-P 4 2ab'
loop_
_atom_site_label
_atom_site_type_symbol
_atom_site_fract_x
_atom_site_fract_y
_atom_site_fract_z
Be1 Be 0.1242 0.3758 0.0000
Nb1 Nb 0.1782 0.6782 0.0000
V1 V 0.0000 0.0000 0.0000
Rh1 Rh 0.0000 0.5000 0.5000
Rh2 Rh 0.0625 0.2072 0.5000
# formation energy from the elements: -0.4961 eV/atom
# total magnetization: 0.73 μB per formula unit
# calculated density: 9.4 Mg/m³
# crystal system: tetragonal

---

# YBe2NbRh | Alexandria via LeMat-Bulk | GGA-PBE | relaxed
data_YBe2NbRh
_cell_length_a 4.5830
_cell_length_b 4.5830
_cell_length_c 4.6909
_cell_angle_alpha 90.00
_cell_angle_beta 90.00
_cell_angle_gamma 90.00
_space_group_name_H-M_alt 'P 4/m m m'
_space_group_IT_number 123
_space_group_name_Hall '-P 4 2'
loop_
_atom_site_label
_atom_site_type_symbol
_atom_site_fract_x
_atom_site_fract_y
_atom_site_fract_z
Y1 Y 0.0000 0.0000 0.0000
Be1 Be 0.0000 0.5000 0.0000
Nb1 Nb 0.5000 0.5000 0.5000
Rh1 Rh 0.0000 0.0000 0.5000
# formation energy from the elements: 1.7252 eV/atom
# total magnetization: 0.00 μB per formula unit
# calculated density: 5.1 Mg/m³
# crystal system: tetragonal

---

# BeNbZnRh | Alexandria via LeMat-Bulk | GGA-PBE | relaxed
data_BeNbZnRh
_cell_length_a 6.0633
_cell_length_b 6.0633
_cell_length_c 6.0633
_cell_angle_alpha 90.00
_cell_angle_beta 90.00
_cell_angle_gamma 90.00
_space_group_name_H-M_alt 'F -4 3 m'
_space_group_IT_number 216
_space_group_name_Hall 'F -4 2 3'
loop_
_atom_site_label
_atom_site_type_symbol
_atom_site_fract_x
_atom_site_fract_y
_atom_site_fract_z
Be1 Be 0.0000 0.0000 0.0000
Nb1 Nb 0.2500 0.2500 0.7500
Zn1 Zn 0.2500 0.2500 0.2500
Rh1 Rh 0.0000 0.0000 0.5000
# formation energy from the elements: -0.2484 eV/atom
# total magnetization: 0.00 μB per formula unit
# calculated density: 8.1 Mg/m³
# crystal system: cubic

---

# Zr2BeNbRh | Alexandria via LeMat-Bulk | GGA-PBE | relaxed
data_Zr2BeNbRh
_cell_length_a 4.6788
_cell_length_b 4.6788
_cell_length_c 4.2877
_cell_angle_alpha 90.00
_cell_angle_beta 90.00
_cell_angle_gamma 90.00
_space_group_name_H-M_alt 'P 4/m m m'
_space_group_IT_number 123
_space_group_name_Hall '-P 4 2'
loop_
_atom_site_label
_atom_site_type_symbol
_atom_site_fract_x
_atom_site_fract_y
_atom_site_fract_z
Zr1 Zr 0.0000 0.5000 0.0000
Be1 Be 0.0000 0.0000 0.0000
Nb1 Nb 0.0000 0.0000 0.5000
Rh1 Rh 0.5000 0.5000 0.5000
# formation energy from the elements: 0.3623 eV/atom
# total magnetization: 0.00 μB per formula unit
# calculated density: 6.9 Mg/m³
# crystal system: tetragonal

---

# Zr2Be2NbRh5 | Alexandria via LeMat-Bulk | GGA-PBE | relaxed
data_Zr2Be2NbRh5
_cell_length_a 9.3198
_cell_length_b 9.3198
_cell_length_c 3.3966
_cell_angle_alpha 90.00
_cell_angle_beta 90.00
_cell_angle_gamma 90.00
_space_group_name_H-M_alt 'P 4/m b m'
_space_group_IT_number 127
_space_group_name_Hall '-P 4 2ab'
loop_
_atom_site_label
_atom_site_type_symbol
_atom_site_fract_x
_atom_site_fract_y
_atom_site_fract_z
Zr1 Zr 0.1742 0.3258 0.0000
Be1 Be 0.1202 0.6202 0.0000
Nb1 Nb 0.0000 0.0000 0.0000
Rh1 Rh 0.0000 0.5000 0.5000
Rh2 Rh 0.0711 0.7880 0.5000
# formation energy from the elements: -0.7494 eV/atom
# total magnetization: 0.00 μB per formula unit
# calculated density: 9.1 Mg/m³
# crystal system: tetragonal

---

# BeNb3Ru | Alexandria via LeMat-Bulk | GGA-PBE | relaxed
data_BeNb3Ru
_cell_length_a 4.7777
_cell_length_b 4.7777
_cell_length_c 4.7777
_cell_angle_alpha 90.00
_cell_angle_beta 90.00
_cell_angle_gamma 90.00
_space_group_name_H-M_alt 'P m -3 m'
_space_group_IT_number 221
_space_group_name_Hall '-P 4 2 3'
loop_
_atom_site_label
_atom_site_type_symbol
_atom_site_fract_x
_atom_site_fract_y
_atom_site_fract_z
Be1 Be 0.0000 0.0000 0.0000
Nb1 Nb 0.0000 0.5000 0.5000
Ru1 Ru 0.5000 0.5000 0.5000
# formation energy from the elements: 1.2879 eV/atom
# relative energy among the computed polymorphs: 642 meV/atom
# total magnetization: 0.00 μB per formula unit
# calculated density: 5.9 Mg/m³
# crystal system: cubic

---

# Be17NbRu | Alexandria via LeMat-Bulk | GGA-PBE | relaxed
data_Be17NbRu
_cell_length_a 7.3054
_cell_length_b 7.3054
_cell_length_c 10.6477
_cell_angle_alpha 90.00
_cell_angle_beta 90.00
_cell_angle_gamma 120.00
_space_group_name_H-M_alt 'R 3 m'
_space_group_IT_number 160
_space_group_name_Hall 'R 3 -2"'
loop_
_atom_site_label
_atom_site_type_symbol
_atom_site_fract_x
_atom_site_fract_y
_atom_site_fract_z
Be1 Be 0.0000 0.0000 0.0531
Be2 Be 0.0000 0.0000 0.2535
Be3 Be 0.0050 0.5025 0.0000
Be4 Be 0.0058 0.3026 0.1504
Be5 Be 0.0099 0.5050 0.6474
Be6 Be 0.0133 0.5066 0.3048
Nb1 Nb 0.0000 0.0000 0.8114
Ru1 Ru 0.0000 0.0000 0.4848
# formation energy from the elements: -0.1963 eV/atom
# total magnetization: 0.00 μB per formula unit
# calculated density: 3.5 Mg/m³
# crystal system: trigonal

---

# Be2Nb2Ru | Alexandria via LeMat-Bulk | GGA-PBE | relaxed
data_Be2Nb2Ru
_cell_length_a 6.2973
_cell_length_b 6.2973
_cell_length_c 3.3236
_cell_angle_alpha 90.00
_cell_angle_beta 90.00
_cell_angle_gamma 90.00
_space_group_name_H-M_alt 'P 4/m b m'
_space_group_IT_number 127
_space_group_name_Hall '-P 4 2ab'
loop_
_atom_site_label
_atom_site_type_symbol
_atom_site_fract_x
_atom_site_fract_y
_atom_site_fract_z
Be1 Be 0.1217 0.3783 0.0000
Nb1 Nb 0.1747 0.6747 0.5000
Ru1 Ru 0.0000 0.0000 0.0000
# formation energy from the elements: -0.3489 eV/atom
# relative energy among the computed polymorphs: 0 meV/atom
# total magnetization: 0.00 μB per formula unit
# calculated density: 7.7 Mg/m³
# crystal system: tetragonal